{"formula": "Sc2RhW2", "functional": "PBE-GGA", "state": "optimized geometry", "lattice": [[6.010, -3.007, 5.232], [2.812, -0.397, 8.029], [-5.766, -0.357, -6.258]], "species": ["Sc", "Sc", "Rh", "W", "W"], "frac_coords": [[0.595, 0.595, 0.000], [0.405, 0.405, 0.000], [0.000, 0.000, 0.000], [0.250, 0.750, 0.500], [0.750, 0.250, 0.500]], "dos_at_fermi_per_ev_fu": 5.35, "crystal_system": "tetragonal", "formation_enthalpy_0k_mev_per_atom": 299.4, "total_magnetization_mub_per_fu": 0.0}